No. 1
Below is a relaxed structure of NiPS2N, with properties calculated at the PBE-GGA level.

Cell lengths 4.6291, 4.6291, 3.1674 Å; angles 90.00, 90.00, 90.00 degrees
Space group P4/mmm (No. 123)
One atom of each set of equivalent atoms:
Ni: 0.0000 0.0000 0.0000 x1
P: 0.5000 0.5000 0.5000 x1
S: 0.0000 0.5000 0.5000 x2
N: 0.5000 0.5000 0.0000 x1

D(E_F)   4.6 states/eV per cell
Spin magnetization   0.186 μB/atom
Uncorrected formation energy   0.716 eV per atom
E above lowest polymorph   0.000 eV per formula unit


No. 2
Below is a relaxed structure of NiP2SN, with properties calculated at the PBE-GGA level.

Cell lengths 4.2573, 4.2573, 4.4436 Å; angles 90.00, 90.00, 90.00 degrees
Space group P4/mmm (No. 123)
One atom of each set of equivalent atoms:
Ni: 0.0000 0.0000 0.0000 x1
P: 0.0000 0.5000 0.0000 x2
S: 0.0000 0.0000 0.5000 x1
N: 0.5000 0.5000 0.5000 x1

D(E_F)   3.9 states/eV per cell
Spin magnetization   0.000 μB/atom
Uncorrected formation energy   1.635 eV per atom
E above lowest polymorph   2.965 eV per formula unit


No. 3
Below is a relaxed structure of NiPS2N, with properties calculated at the PBE-GGA level.

Cell lengths 4.2295, 4.2295, 3.7430 Å; angles 90.00, 90.00, 90.00 degrees
Space group P4/mmm (No. 123)
One atom of each set of equivalent atoms:
Ni: 0.0000 0.0000 0.0000 x1
P: 0.5000 0.5000 0.0000 x1
S: 0.0000 0.5000 0.5000 x2
N: 0.5000 0.5000 0.5000 x1

D(E_F)   3.4 states/eV per cell
Spin magnetization   0.120 μB/atom
Uncorrected formation energy   1.174 eV per atom
E above lowest polymorph   2.288 eV per formula unit


No. 4
Below is a relaxed structure of NiPSN2, with properties calculated at the PBE-GGA level.

Cell lengths 3.4526, 3.4526, 7.6580 Å; angles 90.00, 90.00, 90.00 degrees
Space group P4/mmm (No. 123)
One atom of each set of equivalent atoms:
Ni: 0.0000 0.0000 0.0000 x1
P: 0.5000 0.5000 0.5000 x1
S: 0.0000 0.0000 0.5000 x1
N: 0.0000 0.5000 0.0000 x2

D(E_F)   3.2 states/eV per cell
Spin magnetization   0.052 μB/atom
Uncorrected formation energy   1.318 eV per atom
E above lowest polymorph   3.049 eV per formula unit


No. 5
Below is a relaxed structure of NiPS2N, with properties calculated at the PBE-GGA level.

Cell lengths 4.6323, 4.6323, 3.4102 Å; angles 90.00, 90.00, 90.00 degrees
Space group P4/mmm (No. 123)
One atom of each set of equivalent atoms:
Ni: 0.0000 0.0000 0.0000 x1
P: 0.5000 0.5000 0.5000 x1
S: 0.0000 0.5000 0.0000 x2
N: 0.0000 0.0000 0.5000 x1

D(E_F)   2.5 states/eV per cell
Spin magnetization   0.108 μB/atom
Uncorrected formation energy   0.880 eV per atom
E above lowest polymorph   0.820 eV per formula unit


No. 6
Below is a relaxed structure of NiP2SeN, with properties calculated at the PBE-GGA level.

Cell lengths 7.9243, 3.3364, 6.1725 Å; angles 90.00, 98.68, 90.00 degrees
Space group Cm (No. 8)
One atom of each set of equivalent atoms:
Ni: 0.0000 0.0000 0.0000 x2
P: 0.1529 0.0000 0.4478 x2
P: 0.4862 0.0000 0.2406 x2
Se: 0.1909 0.5000 0.8646 x2
N: 0.3388 0.0000 0.3921 x2

D(E_F)   3.4 states/eV per cell
Spin magnetization   0.000 μB/atom
Uncorrected formation energy   0.016 eV per atom
E above lowest polymorph   0.345 eV per formula unit


Q: What is the formula in the fourth record?
A: NiPSN2


Q: What is the formula in the sixth record?
A: NiP2SeN